Record 1
! meta-GGA SCAN OsSeN2O, PBEsol geometry; values from VASP
! Uncorrected formation energy in meV per atom: 894
&SYSTEM
  ibrav = 0, nat = 5, ntyp = 4
/
ATOMIC_SPECIES
Os 190.23 Os.upf
Se 78.96 Se.upf
N 14.01 N.upf
O 16.00 O.upf
ATOMIC_POSITIONS crystal
Os 0.000 0.000 0.000
Se 0.500 0.500 0.500
N 0.000 0.500 0.000
N 0.500 0.000 0.000
O 0.000 0.000 0.500
CELL_PARAMETERS angstrom
3.911 0.000 0.000
0.000 3.911 0.000
0.000 0.000 3.784



Record 2
! meta-GGA SCAN Re2PNO, PBEsol geometry; values from VASP
! Uncorrected formation energy in meV per atom: 1865
&SYSTEM
  ibrav = 0, nat = 5, ntyp = 4
/
ATOMIC_SPECIES
Re 186.21 Re.upf
P 30.97 P.upf
N 14.01 N.upf
O 16.00 O.upf
ATOMIC_POSITIONS crystal
Re 0.000 0.500 0.000
Re 0.500 0.000 0.000
P 0.000 0.000 0.500
N 0.500 0.500 0.500
O 0.000 0.000 0.000
CELL_PARAMETERS angstrom
4.006 0.000 0.000
0.000 4.006 0.000
0.000 0.000 3.814



The calculation returns the following raw total energy values, one per record and in order: -22.4604 -31.7584 eV per atom.